No. 1
The following is a PBE calculation of a relaxed TbGa2Bi crystal, from Alexandria.

Lattice parameters (Å, degrees): 5.2367 5.2367 5.1602 59.51 59.51 60.00
Last column: nearest neighbours and their distance in Å.
Atoms (fractional coordinates):
Ga 0.7497 0.7497 0.7510  4 Tb 3.13-3.20, 4 Bi 3.14-3.20
Ga 0.2503 0.2503 0.2490  4 Tb 3.13-3.20, 4 Bi 3.14-3.20
Bi 0.0000 0.0000 0.0000  8 Ga 3.14-3.20
Tb 0.5000 0.5000 0.5000  8 Ga 3.13-3.20

Output
* E_form: -0.7 eV per formula unit
* calculated density: 8.48 g/cm³
* SG: R-3m (166)
* distance to the lowest polymorph of the same formula: 248 meV/atom
* DFT total energy: -3.816 eV per atom
* calculated volume: 24.83 A^3/atom

=====

No. 2
The following is a PBE calculation of a relaxed TbGa4Bi crystal, from Alexandria.

Lattice parameters (Å, degrees): 5.6657 5.6657 5.6657 60.00 60.00 60.00
Last column: nearest neighbours and their distance in Å.
Atoms (fractional coordinates):
Ga 0.6248 0.6248 0.6248  6 Ga 2.83-2.84
Ga 0.6248 0.1257 0.6248  6 Ga 2.83-2.84
Ga 0.6248 0.6248 0.1257  6 Ga 2.83-2.84
Ga 0.1257 0.6248 0.6248  6 Ga 2.83-2.84
Tb 0.2500 0.2500 0.2500  12 Ga 3.32, 4 Bi 3.47
Bi 0.0000 0.0000 0.0000  12 Ga 3.32, 4 Tb 3.47

Output
* E_form: -1.4 eV per formula unit
* calculated density: 8.35 g/cm³
* SG: F-43m (216)
* DFT total energy: -3.665 eV per atom
* calculated volume: 21.43 A^3/atom

=====

No. 3
The following is a PBE calculation of a relaxed Tb4Ga2Bi crystal, from Alexandria.

Lattice parameters (Å, degrees): 8.1941 8.2038 8.1934 109.31 109.26 110.00
Last column: nearest neighbours and their distance in Å.
Atoms (fractional coordinates):
Bi 0.9999 0.0000 0.9999  8 Tb 3.13-3.48
Bi 0.2501 0.7500 0.5001  8 Tb 3.13-3.48
Tb 0.4988 0.6769 0.8212  3 Ga 2.92-2.96, 1 Bi 3.13
Tb 0.3235 0.5013 0.1790  3 Ga 2.92-2.96, 1 Bi 3.13
Tb 0.7512 0.0734 0.6791  3 Ga 2.92-2.96, 1 Bi 3.13
Tb 0.8552 0.6771 0.1787  3 Ga 2.92-2.95, 1 Bi 3.13
Tb 0.3948 0.0726 0.3211  3 Ga 2.92-2.95, 1 Bi 3.13
Tb 0.9273 0.6053 0.6787  3 Ga 2.92-2.95, 1 Bi 3.13
Tb 0.3224 0.1447 0.8210  3 Ga 2.92-2.95, 1 Bi 3.13
Tb 0.9267 0.2487 0.3213  3 Ga 2.92-2.96, 1 Bi 3.13
Ga 0.1250 0.3752 0.7502  6 Tb 2.92-2.96
Ga 0.6248 0.3750 0.7498  6 Tb 2.92-2.96
Ga 0.6252 0.8750 0.2502  6 Tb 2.92-2.96
Ga 0.6250 0.3748 0.2498  6 Tb 2.92-2.95

Output
* E_form: -2.8 eV per formula unit
* calculated density: 7.72 g/cm³
* SG: C2/c (15)
* DFT total energy: -4.469 eV per atom
* calculated volume: 30.22 A^3/atom

=====

No. 4
The following is a PBE calculation of a relaxed TbGaBi crystal, from Alexandria.

Lattice parameters (Å, degrees): 3.9388 4.8812 4.8812 120.00 90.00 90.00
Last column: nearest neighbours and their distance in Å.
Atoms (fractional coordinates):
Tb 0.2945 0.3333 0.6667  3 Ga 3.12, 3 Bi 3.35
Bi 0.7524 0.6667 0.3333  3 Ga 2.93
Ga 0.9530 0.0000 0.0000  3 Bi 2.93, 3 Tb 3.12

Output
* E_form: -1.0 eV per formula unit
* calculated density: 8.94 g/cm³
* SG: P3m1 (156)
* distance to the lowest polymorph of the same formula: 0 meV/atom
* DFT total energy: -4.186 eV per atom
* calculated volume: 27.09 A^3/atom

=====

No. 5
The following is a PBE calculation of a relaxed TbGa2Bi crystal, from Alexandria.

Lattice parameters (Å, degrees): 4.3943 4.6356 4.6356 90.00 90.00 90.00
Last column: nearest neighbours and their distance in Å.
Atoms (fractional coordinates):
Ga 0.0000 0.0000 0.5000  4 Tb 3.19, 4 Bi 3.19, 4 Ga 3.28
Ga 0.0000 0.5000 0.0000  4 Tb 3.19, 4 Bi 3.19, 4 Ga 3.28
Bi 0.5000 0.0000 0.0000  8 Ga 3.19, 4 Tb 3.28
Tb 0.5000 0.5000 0.5000  8 Ga 3.19, 4 Bi 3.28

Output
* E_form: -1.7 eV per formula unit
* calculated density: 8.92 g/cm³
* SG: P4/mmm (123)
* distance to the lowest polymorph of the same formula: 0 meV/atom
* DFT total energy: -4.064 eV per atom
* calculated volume: 23.61 A^3/atom

=====

No. 6
The following is a PBE calculation of a relaxed Tb12Ga5Bi3 crystal, from Alexandria.

Lattice parameters (Å, degrees): 15.1100 15.1100 15.1100 109.47 109.47 109.47
Last column: nearest neighbours and their distance in Å.
Atoms (fractional coordinates):
Tb 0.7114 0.1244 0.0408  2 Ga 2.76-2.83
Tb 0.0408 0.6244 0.7114  2 Ga 2.76-2.83
Tb 0.4130 0.2886 0.3294  2 Ga 2.76-2.83
Tb 0.8756 0.2886 0.4592  2 Ga 2.76-2.83
Tb 0.9130 0.8294 0.7886  2 Ga 2.76-2.83
Tb 0.1706 0.0836 0.9592  2 Ga 2.76-2.83
Tb 0.4164 0.0408 0.3294  2 Ga 2.76-2.83
Tb 0.2886 0.4130 0.8294  2 Ga 2.76-2.83
Tb 0.2886 0.8756 0.9592  2 Ga 2.76-2.83
Tb 0.9130 0.0836 0.6244  2 Ga 2.76-2.83
Tb 0.9164 0.8294 0.5408  2 Ga 2.76-2.83
Tb 0.7886 0.4592 0.3756  2 Ga 2.76-2.83
Tb 0.3294 0.5408 0.4164  2 Ga 2.76-2.83
Tb 0.5408 0.2114 0.1244  2 Ga 2.76-2.83
Tb 0.1706 0.0870 0.7114  2 Ga 2.76-2.83
Tb 0.2114 0.5408 0.6244  2 Ga 2.76-2.83
Tb 0.8294 0.9164 0.0408  2 Ga 2.76-2.83
Tb 0.4164 0.3756 0.5870  2 Ga 2.76-2.83
Tb 0.4592 0.6706 0.0836  2 Ga 2.76-2.83
Tb 0.2114 0.6706 0.0870  2 Ga 2.76-2.83
Tb 0.6244 0.5836 0.9130  2 Ga 2.76-2.83
Tb 0.0836 0.9130 0.1244  2 Ga 2.76-2.83
Tb 0.7114 0.5870 0.1706  2 Ga 2.76-2.83
Tb 0.1244 0.4130 0.0836  2 Ga 2.76-2.83
Tb 0.6706 0.2114 0.5870  2 Ga 2.76-2.83
Tb 0.9592 0.5836 0.1706  2 Ga 2.76-2.83
Tb 0.5836 0.6244 0.4130  2 Ga 2.76-2.83
Tb 0.3756 0.9592 0.7886  2 Ga 2.76-2.83
Tb 0.5408 0.3294 0.9164  2 Ga 2.76-2.83
Tb 0.0836 0.1706 0.4592  2 Ga 2.76-2.83
Tb 0.0870 0.9164 0.3756  2 Ga 2.76-2.83
Tb 0.3294 0.7886 0.4130  2 Ga 2.76-2.83
Tb 0.4592 0.7886 0.8756  2 Ga 2.76-2.83
Tb 0.0408 0.4164 0.8294  2 Ga 2.76-2.83
Tb 0.4130 0.1244 0.5836  2 Ga 2.76-2.83
Tb 0.8756 0.5870 0.9164  2 Ga 2.76-2.83
Tb 0.8294 0.9130 0.2886  2 Ga 2.76-2.83
Tb 0.6244 0.0408 0.2114  2 Ga 2.76-2.83
Tb 0.3756 0.4164 0.0870  2 Ga 2.76-2.83
Tb 0.9164 0.0870 0.8756  2 Ga 2.76-2.83
Tb 0.1244 0.7114 0.5408  2 Ga 2.76-2.83
Tb 0.5870 0.7114 0.6706  2 Ga 2.76-2.83
Tb 0.7886 0.3294 0.9130  2 Ga 2.76-2.83
Tb 0.9592 0.3756 0.2886  2 Ga 2.76-2.83
Tb 0.5836 0.9592 0.6706  2 Ga 2.76-2.83
Tb 0.5870 0.8756 0.4164  2 Ga 2.76-2.83
Tb 0.6706 0.4592 0.5836  2 Ga 2.76-2.83
Tb 0.0870 0.1706 0.2114  2 Ga 2.76-2.83
Ga 0.1250 0.3750 0.2500  4 Tb 2.76
Ga 0.5000 0.5000 0.0000  6 Tb 2.83
Ga 0.6250 0.8750 0.2500  4 Tb 2.76
Ga 0.3750 0.2500 0.1250  4 Tb 2.76
Ga 0.0000 0.0000 0.5000  6 Tb 2.83
Ga 0.6250 0.7500 0.8750  4 Tb 2.76
Ga 0.7500 0.1250 0.8750  4 Tb 2.76
Ga 0.5000 0.0000 0.0000  6 Tb 2.83
Ga 0.0000 0.0000 0.0000  6 Tb 2.83
Ga 0.0000 0.5000 0.5000  6 Tb 2.83
Ga 0.2500 0.8750 0.1250  4 Tb 2.76
Ga 0.8750 0.2500 0.6250  4 Tb 2.76
Ga 0.1250 0.7500 0.3750  4 Tb 2.76
Ga 0.7500 0.6250 0.3750  4 Tb 2.76
Ga 0.3750 0.1250 0.7500  4 Tb 2.76
Ga 0.5000 0.0000 0.5000  6 Tb 2.83
Ga 0.0000 0.5000 0.0000  6 Tb 2.83
Ga 0.5000 0.5000 0.5000  6 Tb 2.83
Ga 0.2500 0.3750 0.6250  4 Tb 2.76
Ga 0.8750 0.6250 0.7500  4 Tb 2.76
Bi 0.2500 0.1250 0.3750  8 Tb 3.30-3.33
Bi 0.8750 0.7500 0.1250  8 Tb 3.30-3.33
Bi 0.3750 0.7500 0.6250  8 Tb 3.30-3.33
Bi 0.1250 0.2500 0.8750  8 Tb 3.30-3.33
Bi 0.8750 0.1250 0.2500  8 Tb 3.30-3.33
Bi 0.6250 0.2500 0.3750  8 Tb 3.30-3.33
Bi 0.2500 0.6250 0.8750  8 Tb 3.30-3.33
Bi 0.7500 0.8750 0.6250  8 Tb 3.30-3.33
Bi 0.3750 0.6250 0.2500  8 Tb 3.30-3.33
Bi 0.7500 0.3750 0.1250  8 Tb 3.30-3.33
Bi 0.1250 0.8750 0.7500  8 Tb 3.30-3.33
Bi 0.6250 0.3750 0.7500  8 Tb 3.30-3.33

Output
* E_form: -2.7 eV per formula unit
* calculated density: 7.21 g/cm³
* SG: Ia-3d (230)
* DFT total energy: -4.254 eV per atom
* calculated volume: 33.20 A^3/atom